# 1
# GGA-PBE ReH, optimized geometry
data_ReH
_cell_length_a 2.9677
_cell_length_b 2.9677
_cell_length_c 4.6842
_cell_angle_alpha 90.00
_cell_angle_beta 90.00
_cell_angle_gamma 120.00
_symmetry_space_group_name_H-M 'P 63 m c'
_symmetry_Int_Tables_number 186
_symmetry_space_group_name_Hall 'P 6c -2c'
loop_
_atom_site_label
_atom_site_type_symbol
_atom_site_fract_x
_atom_site_fract_y
_atom_site_fract_z
Re1 Re 0.3333 0.6667 0.0000
H1 H 0.3333 0.6667 0.6206
# calculated total energy: -30.29 eV for the cell shown
# V: 8.932 A^3/atom
# relative energy among the computed polymorphs: 120 meV/atom
# total moment: 0.00 μB/f.u.



# 2
# GGA-PBE ReH, optimized geometry
data_ReH
_cell_length_a 5.5900
_cell_length_b 6.1568
_cell_length_c 8.3013
_cell_angle_alpha 90.00
_cell_angle_beta 90.00
_cell_angle_gamma 90.00
_symmetry_space_group_name_H-M 'F d d d'
_symmetry_Int_Tables_number 70
loop_
_symmetry_equiv_pos_as_xyz
'x,y,z'
'-x,-y,-z'
'-x+1/4,-y+1/4,z'
'x+1/4,y+1/4,-z'
'x,-y+1/4,-z+1/4'
'-x,y+1/4,z+1/4'
'-x+1/4,y,-z+1/4'
'x+1/4,-y,z+1/4'
'x,y+1/2,z+1/2'
'-x,-y+1/2,-z+1/2'
'-x+1/4,-y+3/4,z+1/2'
'x+1/4,y+3/4,-z+1/2'
'x,-y+3/4,-z+3/4'
'-x,y+3/4,z+3/4'
'-x+1/4,y+1/2,-z+3/4'
'x+1/4,-y+1/2,z+3/4'
'x+1/2,y,z+1/2'
'-x+1/2,-y,-z+1/2'
'-x+3/4,-y+1/4,z+1/2'
'x+3/4,y+1/4,-z+1/2'
'x+1/2,-y+1/4,-z+3/4'
'-x+1/2,y+1/4,z+3/4'
'-x+3/4,y,-z+3/4'
'x+3/4,-y,z+3/4'
'x+1/2,y+1/2,z'
'-x+1/2,-y+1/2,-z'
'-x+3/4,-y+3/4,z'
'x+3/4,y+3/4,-z'
'x+1/2,-y+3/4,-z+1/4'
'-x+1/2,y+3/4,z+1/4'
'-x+3/4,y+1/2,-z+1/4'
'x+3/4,-y+1/2,z+1/4'
loop_
_atom_site_label
_atom_site_type_symbol
_atom_site_fract_x
_atom_site_fract_y
_atom_site_fract_z
Re1 Re 0.1250 0.3370 0.1250
H1 H 0.1250 0.1250 0.5193
# calculated total energy: -243.57 eV for the cell shown
# V: 8.928 A^3/atom
# relative energy among the computed polymorphs: 80 meV/atom
# total moment: 0.00 μB/f.u.